Compound: Pm2AsCl2
Source: Alexandria via LeMat-Bulk
Functional: PBE
Structure: relaxed

Lattice parameters (Å, degrees): 4.1474 4.1474 10.4768 78.58 78.58 60.00
Last column: nearest neighbours and their distance in Å.
Element x y z (fractional)
Pm  0.6126  0.6126  0.1623  3 Cl 2.90, 3 As 2.91
Pm  0.3874  0.3874  0.8377  3 Cl 2.90, 3 As 2.91
As  0.0000  0.0000  0.0000  6 Pm 2.91
Cl  0.2258  0.2258  0.3225  3 Pm 2.90
Cl  0.7742  0.7742  0.6775  3 Pm 2.90

For the uncorrected formation energy, the calculation gives -1.906 eV per atom. The value obtained for the density of states at the Fermi level is 1.86 states/eV/f.u. The uncorrected energy is -5.475 eV/atom. The magnetic moment is 0.0 Bohr magnetons per cell.